A geometry-optimized MnVS2Cl structure. Source: Alexandria, functional PBE.

It has space group P4/mmm (No. 123), with a = 4.437 Å, b = 4.437 Å, c = 4.527 Å, α = 90.00°, β = 90.00° and γ = 90.00°. The asymmetric unit holds Mn at (0.000, 0.000, 0.000), V at (0.500, 0.500, 0.500), S at (0.000, 0.500, 0.000) and Cl at (0.000, 0.000, 0.500).

The uncorrected energy comes out at -5.18 eV/atom. For the total magnetization, the calculation gives 0.34 μB per cell. The offset from the most stable computed form is 3.27 eV per formula unit. The formation energy without anion corrections is 501.3 meV/atom. The density of states at the Fermi level is 11.8 states/eV per cell.